Density functional theory data (PBE-GGA) for Dy11Mg9Co4 after structural relaxation.

Structure (POSCAR):
```
Dy11Mg9Co4
1.0
7.210 -10.964 0.000
7.210 10.964 0.000
0.000 0.000 3.645
Dy Mg Co
11 9 4
Direct
0.000 0.000 0.000
0.092 0.419 0.000
0.157 0.843 0.000
0.312 0.312 0.000
0.373 0.627 0.000
0.419 0.092 0.000
0.581 0.908 0.000
0.627 0.373 0.000
0.688 0.688 0.000
0.843 0.157 0.000
0.908 0.581 0.000
0.077 0.219 0.500
0.153 0.634 0.500
0.219 0.077 0.500
0.366 0.847 0.500
0.500 0.500 0.500
0.634 0.153 0.500
0.781 0.923 0.500
0.847 0.366 0.500
0.923 0.781 0.500
0.257 0.453 0.500
0.453 0.257 0.500
0.547 0.743 0.500
0.743 0.547 0.500
```

Calculated values
D(E_F) = 23.1 states/eV/f.u.
E_form = -0.132 eV/atom
E = -4.024 eV/atom